1.
# Li2YI2, PBEsol geometry, DFT SCAN
data_Li2YI2
_chemical_formula_sum 'Li4 Y2 I4'
_symmetry_space_group_name_H-M 'P 1'
_symmetry_Int_Tables_number 1
_symmetry_space_group_name_Hall 'P 1'
_cell_length_a 7.894
_cell_length_b 7.894
_cell_length_c 3.703
_cell_angle_alpha 90.00
_cell_angle_beta 90.00
_cell_angle_gamma 90.00
loop_
_atom_site_label
_atom_site_fract_x
_atom_site_fract_y
_atom_site_fract_z
_atom_site_occupancy
Li1 0.123 0.377 0.000 1
Li2 0.377 0.877 0.000 1
Li3 0.623 0.123 0.000 1
Li4 0.877 0.623 0.000 1
Y1 0.000 0.000 0.000 1
Y2 0.500 0.500 0.000 1
I1 0.183 0.683 0.500 1
I2 0.317 0.183 0.500 1
I3 0.683 0.817 0.500 1
I4 0.817 0.317 0.500 1
# Formation energy (no corrections), eV/atom: -0.40
# Volume, Å³ per cell: 230.8

---

2.
# Si4Rh3, PBEsol geometry, DFT SCAN
data_Si4Rh3
_chemical_formula_sum 'Si16 Rh12'
_symmetry_space_group_name_H-M 'P 1'
_symmetry_Int_Tables_number 1
_symmetry_space_group_name_Hall 'P 1'
_cell_length_a 18.746
_cell_length_b 3.622
_cell_length_c 5.776
_cell_angle_alpha 90.00
_cell_angle_beta 90.00
_cell_angle_gamma 90.00
loop_
_atom_site_label
_atom_site_fract_x
_atom_site_fract_y
_atom_site_fract_z
_atom_site_occupancy
Si1 0.050 0.250 0.021 1
Si2 0.090 0.250 0.567 1
Si3 0.143 0.750 0.111 1
Si4 0.232 0.250 0.282 1
Si5 0.268 0.750 0.782 1
Si6 0.357 0.250 0.611 1
Si7 0.410 0.750 0.067 1
Si8 0.450 0.750 0.521 1
Si9 0.550 0.250 0.479 1
Si10 0.590 0.250 0.933 1
Si11 0.643 0.750 0.389 1
Si12 0.732 0.250 0.218 1
Si13 0.768 0.750 0.718 1
Si14 0.857 0.250 0.889 1
Si15 0.910 0.750 0.433 1
Si16 0.950 0.750 0.979 1
Rh1 0.032 0.750 0.313 1
Rh2 0.175 0.250 0.884 1
Rh3 0.176 0.750 0.498 1
Rh4 0.324 0.250 0.998 1
Rh5 0.325 0.750 0.384 1
Rh6 0.468 0.250 0.813 1
Rh7 0.532 0.750 0.187 1
Rh8 0.675 0.250 0.616 1
Rh9 0.676 0.750 0.002 1
Rh10 0.824 0.250 0.502 1
Rh11 0.825 0.750 0.116 1
Rh12 0.968 0.250 0.687 1
# Formation energy (no corrections), eV/atom: -0.80
# Volume, Å³ per cell: 392.2

---

3.
# Ca2InAu, PBEsol geometry, DFT SCAN
data_Ca2InAu
_chemical_formula_sum 'Ca2 In1 Au1'
_symmetry_space_group_name_H-M 'P 1'
_symmetry_Int_Tables_number 1
_symmetry_space_group_name_Hall 'P 1'
_cell_length_a 3.612
_cell_length_b 3.612
_cell_length_c 7.639
_cell_angle_alpha 90.00
_cell_angle_beta 90.00
_cell_angle_gamma 90.00
loop_
_atom_site_label
_atom_site_fract_x
_atom_site_fract_y
_atom_site_fract_z
_atom_site_occupancy
Ca1 0.000 0.000 0.227 1
Ca2 0.000 0.000 0.773 1
In1 0.500 0.500 0.500 1
Au1 0.500 0.500 0.000 1
# Formation energy from the elements, eV per atom: -0.776
# Volume, Å³ per cell: 99.7

---

4.
# Fe4MoOs, PBEsol geometry, DFT SCAN
data_Fe4MoOs
_chemical_formula_sum 'Fe4 Mo1 Os1'
_symmetry_space_group_name_H-M 'P 1'
_symmetry_Int_Tables_number 1
_symmetry_space_group_name_Hall 'P 1'
_cell_length_a 4.611
_cell_length_b 4.611
_cell_length_c 4.611
_cell_angle_alpha 60.00
_cell_angle_beta 60.00
_cell_angle_gamma 60.00
loop_
_atom_site_label
_atom_site_fract_x
_atom_site_fract_y
_atom_site_fract_z
_atom_site_occupancy
Fe1 0.125 0.125 0.125 1
Fe2 0.125 0.125 0.626 1
Fe3 0.125 0.626 0.125 1
Fe4 0.626 0.125 0.125 1
Mo1 0.500 0.500 0.500 1
Os1 0.750 0.750 0.750 1
# Formation energy from the elements, eV per atom: 0.082
# Volume, Å³ per cell: 69.3

---

Q: What is the volume in the second record?
A: 392.2 Å³ per cell